Record 1
Entry from Alexandria via LeMat-Bulk: a geometry-optimized BeHSe2 structure (PBEsol).

Structure (POSCAR):
```
BeHSe2
1.0
5.0001 0.0000 0.0000
0.0000 5.0001 0.0000
-2.5001 -2.5001 4.7861
Se Be H
4 2 2
direct
0.8534 0.3750 0.2500
0.6250 0.6034 0.7500
0.1250 0.1466 0.7500
0.3966 0.8750 0.2500
0.0000 0.0000 0.0000
0.2500 0.7500 0.5000
0.5000 0.5000 0.0000
0.7500 0.2500 0.5000
```

The density of states at the Fermi level is 1.9 states/eV/f.u. For the size of the total moment, the calculation gives 0.00 μB/cell. As for the total DFT energy (no corrections): -3.744 eV per atom.

Record 2
Entry from Alexandria via LeMat-Bulk: a geometry-optimized BeH2Se structure (PBEsol).

Structure (POSCAR):
```
BeH2Se
1.0
4.7582 0.0000 0.0000
2.3791 4.1207 0.0000
2.3791 1.3736 3.8850
H Se Be
4 2 2
direct
0.1250 0.6250 0.6250
0.6250 0.6250 0.6250
0.6250 0.1250 0.6250
0.6250 0.6250 0.1250
0.2500 0.2500 0.2500
0.0000 0.0000 0.0000
0.5000 0.5000 0.5000
0.7500 0.7500 0.7500
```

The density of states at the Fermi level is 1.8 states/eV/f.u. For the size of the total moment, the calculation gives 0.00 μB/cell. As for the total DFT energy (no corrections): -3.214 eV per atom.